# 1
A plane-wave DFT calculation with GGA-PBEsol was carried out for Al2SiRu after structural relaxation.

POSCAR file:
```
Al2SiRu
1.0
-0.405 1.246 -2.612
3.119 -2.674 -1.759
-3.236 -3.107 0.654
Al Si Ru
2 1 1
Direct
0.999 0.996 0.998
0.759 0.262 0.518
0.237 0.734 0.475
0.505 0.508 0.010
```

Computed properties:
- Energy: -6.37 eV per atom
- SG: Cm
- V: 55.37 Å³/cell
- Theoretical density: 5.49 Mg/m³
- N(E_F): 1.15 states/eV per cell
- Formation energy from raw total energies: -34 kJ per mole of atoms

***

# 2
A plane-wave DFT calculation with GGA-PBEsol was carried out for Al2SiRu after structural relaxation.

POSCAR file:
```
Al2SiRu
1.0
-1.602 2.145 -1.753
-2.702 -1.657 0.442
-1.014 2.821 4.379
Si Al Ru
1 2 1
Direct
0.500 0.500 0.500
0.000 0.000 0.249
0.000 0.000 0.751
0.500 0.500 0.000
```

Computed properties:
- Energy: -6.40 eV per atom
- SG: P4/mmm
- V: 54.34 Å³/cell
- Theoretical density: 5.60 Mg/m³
- N(E_F): 1.54 states/eV per cell
- Formation energy from raw total energies: -36 kJ per mole of atoms

***

# 3
A plane-wave DFT calculation with GGA-PBEsol was carried out for Sm8Al53Si17Ru12 after structural relaxation.

POSCAR file:
```
Sm8Al53Si17Ru12
1.0
11.403 -0.002 -0.003
0.001 11.396 0.003
0.003 0.017 11.478
Si Al Ru Sm
17 53 12 8
Direct
0.500 0.998 0.000
0.151 0.006 0.164
0.997 0.154 0.162
0.500 0.499 0.743
0.001 0.499 0.000
0.157 0.003 0.839
0.848 0.002 0.166
0.500 0.740 0.499
0.000 0.852 0.168
0.740 0.500 0.499
0.004 0.159 0.845
0.999 0.000 0.499
0.500 0.261 0.500
0.260 0.499 0.500
0.851 0.158 0.003
0.500 0.500 0.257
0.158 0.148 0.997
0.322 0.499 0.113
0.500 0.322 0.113
0.363 0.872 0.872
0.500 0.499 0.499
0.499 0.886 0.677
0.874 0.637 0.872
0.114 0.675 0.499
0.887 0.499 0.676
0.500 0.319 0.886
0.126 0.638 0.126
0.360 0.874 0.127
0.636 0.125 0.126
0.843 0.005 0.842
0.886 0.500 0.322
0.324 0.887 0.499
0.115 0.499 0.680
0.359 0.123 0.873
0.499 0.115 0.678
0.364 0.125 0.127
0.114 0.324 0.500
0.115 0.500 0.321
0.320 0.499 0.886
0.873 0.127 0.362
0.874 0.638 0.127
0.152 0.851 0.003
0.677 0.499 0.887
0.126 0.126 0.636
0.500 0.679 0.113
0.886 0.678 0.499
0.128 0.873 0.365
0.639 0.125 0.874
0.126 0.128 0.364
0.638 0.873 0.872
0.874 0.364 0.872
0.678 0.500 0.113
0.676 0.887 0.500
0.872 0.873 0.364
0.001 0.847 0.835
0.641 0.873 0.126
0.127 0.872 0.633
0.500 0.115 0.323
0.875 0.362 0.127
0.852 0.846 0.004
0.126 0.358 0.875
0.873 0.126 0.638
0.322 0.115 0.500
0.500 0.676 0.887
0.872 0.873 0.636
0.678 0.115 0.499
0.885 0.321 0.500
0.126 0.361 0.127
0.125 0.641 0.874
0.500 0.886 0.320
0.000 0.692 0.690
0.001 0.304 0.695
0.304 0.000 0.693
0.694 0.001 0.304
0.001 0.695 0.304
0.304 0.696 0.001
0.699 0.301 0.001
0.304 0.002 0.305
0.000 0.305 0.305
0.697 0.695 0.000
0.692 0.001 0.692
0.302 0.300 0.001
0.322 0.322 0.322
0.322 0.677 0.678
0.322 0.678 0.321
0.678 0.321 0.678
0.678 0.677 0.678
0.322 0.322 0.678
0.678 0.322 0.321
0.678 0.678 0.321
```

Computed properties:
- Energy: -5.80 eV per atom
- SG: P1
- V: 1491.55 Å³/cell
- Theoretical density: 4.81 Mg/m³
- N(E_F): 28.97 states/eV per cell
- Formation energy from raw total energies: -48 kJ per mole of atoms